10
Lattice="8.0357 0.0000 0.0000 0.0000 8.0357 0.0000 0.0000 0.0000 2.9284" Properties=species:S:1:pos:R:3 comment="GGA-PBE LiV2Sn2, optimized geometry" m_tot_mub_per_cell=0.00 e_tot_ev_per_atom=-5.567 spacegroup=P4/mbm crystal_system=tetragonal ef_ev_per_atom=0.0647 pbc="T T T"
Li 0.0000 0.0000 0.0000
Li 4.0178 4.0178 0.0000
V 0.8582 3.1596 1.4642
V 3.1596 7.1775 1.4642
V 4.8760 0.8582 1.4642
V 7.1775 4.8760 1.4642
Sn 1.4803 5.4982 0.0000
Sn 2.5375 1.4803 0.0000
Sn 5.4982 6.5553 0.0000
Sn 6.5553 2.5375 0.0000

12
Lattice="4.4869 0.0000 0.0000 0.0000 4.5652 0.0000 0.0000 0.0000 12.3847" Properties=species:S:1:pos:R:3 comment="GGA-PBE CdPd, optimized geometry" m_tot_mub_per_cell=0.00 e_tot_ev_per_atom=-3.202 spacegroup=Immm crystal_system=orthorhombic ef_ev_per_atom=-0.1476 pbc="T T T"
Cd 0.0000 0.0000 0.0000
Cd 0.0000 0.0000 3.2182
Cd 0.0000 0.0000 9.1665
Cd 2.2435 2.2826 2.9742
Cd 2.2435 2.2826 6.1924
Cd 2.2435 2.2826 9.4105
Pd 0.0000 0.0000 6.1924
Pd 0.0000 2.2826 4.6846
Pd 0.0000 2.2826 7.7001
Pd 2.2435 0.0000 1.5077
Pd 2.2435 0.0000 10.8770
Pd 2.2435 2.2826 0.0000